[1]
# NdSc2N PBE-GGA optimized geometry
data_NdSc2N
_chemical_formula_sum 'Nd2 Sc4 N2'
_cell_length_a 3.2746
_cell_length_b 3.2746
_cell_length_c 17.3363
_cell_angle_alpha 90.00
_cell_angle_beta 90.00
_cell_angle_gamma 120.00
_symmetry_space_group_name_H-M 'P 63/m m c'
_symmetry_Int_Tables_number 194
_symmetry_space_group_name_Hall '-P 6c 2c'
loop_
_atom_site_label
_atom_site_fract_x
_atom_site_fract_y
_atom_site_fract_z
Nd1 0.3333 0.6667 0.2500
Sc1 0.3333 0.6667 0.5702
N1 0.0000 0.0000 0.0000
# - Total magnetic moment: 0.6 Bohr magnetons per cell
# - V: 20.1 Å³/atom
# - Raw total energy: -0.53693 Ry/atom


[2]
# Tm2Cu2B2CN PBE-GGA optimized geometry
data_Tm2Cu2B2CN
_chemical_formula_sum 'Tm2 Cu2 B2 C1 N1'
_cell_length_a 3.489
_cell_length_b 3.489
_cell_length_c 7.769
_cell_angle_alpha 90.00
_cell_angle_beta 90.00
_cell_angle_gamma 90.00
_symmetry_space_group_name_H-M 'P 4 m m'
_symmetry_Int_Tables_number 99
_symmetry_space_group_name_Hall 'P 4 -2'
loop_
_atom_site_label
_atom_site_fract_x
_atom_site_fract_y
_atom_site_fract_z
Tm1 0.000 0.000 0.000
Tm2 0.500 0.500 0.316
Cu1 0.000 0.500 0.649
B1 0.000 0.000 0.476
B2 0.500 0.500 0.827
C1 0.500 0.500 0.015
N1 0.000 0.000 0.292
# - Total magnetic moment: 0.0 Bohr magnetons per cell
# - V: 11.8 Å³/atom
# - Raw total energy: -0.48248 Ry/atom


[3]
# LuZnFeW PBE-GGA optimized geometry
data_LuZnFeW
_chemical_formula_sum 'Lu4 Zn4 Fe4 W4'
_cell_length_a 6.326
_cell_length_b 6.326
_cell_length_c 6.326
_cell_angle_alpha 90.00
_cell_angle_beta 90.00
_cell_angle_gamma 90.00
_symmetry_space_group_name_H-M 'F -4 3 m'
_symmetry_Int_Tables_number 216
_symmetry_space_group_name_Hall 'F -4 2 3'
loop_
_atom_site_label
_atom_site_fract_x
_atom_site_fract_y
_atom_site_fract_z
Lu1 0.000 0.000 0.000
Zn1 0.250 0.250 0.250
Fe1 0.000 0.000 0.500
W1 0.250 0.250 0.750
# - Total magnetic moment: 0.2 Bohr magnetons per cell
# - E above lowest polymorph: 0 meV per atom
# - Formation enthalpy at 0 K: 1.7 eV/f.u.
# - V: 15.8 Å³/atom


[4]
# K2HfAg2Te4 PBE-GGA optimized geometry
data_K2HfAg2Te4
_chemical_formula_sum 'K4 Hf2 Ag4 Te8'
_cell_length_a 6.501
_cell_length_b 14.737
_cell_length_c 6.489
_cell_angle_alpha 90.00
_cell_angle_beta 90.00
_cell_angle_gamma 90.00
_symmetry_space_group_name_H-M 'C 2 2 2'
_symmetry_Int_Tables_number 21
_symmetry_space_group_name_Hall 'C 2 2'
loop_
_atom_site_label
_atom_site_fract_x
_atom_site_fract_y
_atom_site_fract_z
K1 0.250 0.250 0.249
Hf1 0.000 0.000 0.500
Ag1 0.000 0.000 0.000
Ag2 0.000 0.500 0.500
Te1 0.240 0.113 0.740
# - Total magnetic moment: 0.0 Bohr magnetons per cell
# - V: 34.5 Å³/atom
# - Raw total energy: -0.30283 Ry/atom


Q: Which of these has the highest total magnetic moment?
A: NdSc2N


Q: Number 2 is which compound?
A: Tm2Cu2B2CN